Entry 1:
CaTb3Ga2 (GGA-PBE, optimized geometry); N(E_F) = 8.5 states/eV per cell; energy of formation = -0.41 eV/atom; spin magnetization = 0.00 μB per formula unit; symmetry = Pmc2_1, No. 26
1.0
5.121 0.000 0.000
0.000 6.704 0.000
0.000 0.000 9.191
Ga Tb Ca
4 6 2
Cartesian
0.000 5.139 3.128
2.561 1.542 1.393
0.000 1.787 6.064
2.561 4.894 7.798
2.561 1.287 7.593
0.000 3.271 8.825
2.561 4.639 1.598
0.000 6.623 0.366
0.000 5.419 6.165
0.000 2.067 3.026
2.561 0.102 4.196
2.561 3.454 4.995


Entry 2:
AcCeHoAg (GGA-PBE, optimized geometry); N(E_F) = 8.4 states/eV per cell; energy of formation = 0.22 eV/atom; spin magnetization = 2.80 μB per formula unit; symmetry = F-43m, No. 216
1.0
-0.947 4.765 2.617
-4.019 0.327 3.767
1.265 0.510 5.347
Ag Ho Ac Ce
1 1 1 1
Cartesian
-0.925 1.401 2.933
0.000 0.000 0.000
-2.775 4.202 8.798
-1.850 2.801 5.865


Entry 3:
NaPH6NO4F (GGA-PBE, optimized geometry); N(E_F) = 0.0 states/eV per cell; total energy = -0.403 Ry/atom; spin magnetization = 0.00 μB per formula unit; symmetry = Pc, No. 7
1.0
-5.834 -6.605 2.441
3.038 -3.408 -1.960
5.862 -3.903 3.448
H O Na F N P
12 8 2 2 2 2
Cartesian
4.920 -7.897 2.815
-0.467 -4.580 0.896
-1.741 -7.403 2.926
1.954 -11.091 2.339
2.617 -5.070 -0.889
0.387 -7.759 1.761
1.536 -7.581 3.008
1.056 -6.233 2.086
2.035 -7.474 1.392
4.838 -9.570 3.170
4.593 -5.502 3.227
3.749 -8.454 3.910
-0.139 -9.119 4.852
1.760 -4.718 -1.240
5.166 -6.377 1.672
-1.357 -8.492 1.451
1.266 -2.258 1.313
2.134 -7.946 4.611
1.350 -10.452 1.883
0.526 -4.497 2.333
-0.779 -10.303 2.897
1.573 -2.371 -1.038
2.870 -4.141 1.575
-3.878 -6.512 1.448
4.718 -8.607 3.549
1.254 -7.259 2.048
4.333 -12.408 3.385
4.629 -6.803 0.310


Entry 4:
K2LiY (GGA-PBE, optimized geometry); N(E_F) = 4.0 states/eV per cell; energy of formation = 0.47 eV/atom; spin magnetization = 0.82 μB per formula unit; symmetry = Cmmm, No. 65
1.0
7.502 -0.002 0.000
-3.681 6.537 0.000
0.000 0.000 3.585
Li Y K
1 1 2
Cartesian
3.751 -0.001 1.792
-1.840 3.268 1.792
0.000 0.000 0.000
1.911 3.268 0.000


Entry 5:
Ba2VReCl (GGA-PBE, optimized geometry); N(E_F) = 5.9 states/eV per cell; formation energy from raw total energies = 0.21 eV per atom; spin magnetization = 2.03 μB per formula unit; symmetry = P4/mmm, No. 123
1.0
-0.720 -3.779 4.942
4.281 0.911 1.320
-2.076 4.836 3.395
Re Cl V Ba
1 1 1 2
Cartesian
0.000 0.000 0.000
0.743 0.984 4.829
2.141 0.456 0.660
-1.038 2.418 1.698
-0.360 -1.890 2.471


Entry 6:
YAl7Cu5 (GGA-PBE, optimized geometry); N(E_F) = 2.9 states/eV per cell; energy of formation = -0.35 eV/atom; spin magnetization = 0.00 μB per formula unit; symmetry = Imm2, No. 44
1.0
-0.908 -5.494 -3.701
3.087 -2.889 5.180
-5.954 2.888 -0.959
Al Cu Y
7 5 1
Cartesian
-2.988 -0.591 1.055
-2.411 -0.916 -1.637
-2.745 -3.730 -1.865
-4.499 -1.708 -3.055
-0.929 -1.727 2.452
0.705 -2.938 0.478
1.368 -5.485 0.928
-1.885 -2.714 0.270
-0.781 -4.902 -0.531
-2.960 1.422 -0.459
-4.385 1.421 1.639
-3.310 -2.715 2.369
-0.005 -0.002 -0.004


Entry 7:
CePm2Mn (GGA-PBE, optimized geometry); N(E_F) = 7.1 states/eV per cell; energy of formation = 0.55 eV/atom; spin magnetization = 3.94 μB per formula unit; symmetry = R-3m, No. 166
1.0
3.380 0.000 0.000
1.690 2.927 0.000
1.690 0.976 11.533
Pm Mn Ce
2 1 1
Cartesian
1.690 0.976 8.673
5.070 2.927 2.860
0.000 0.000 0.000
3.380 1.951 5.767


Entry 8:
SnBiHPb2 (GGA-PBE, optimized geometry); N(E_F) = 1.8 states/eV per cell; total energy = -0.258 Ry/atom; spin magnetization = 0.00 μB per formula unit; symmetry = P4/mmm, No. 123
1.0
5.046 0.000 0.000
0.000 5.046 0.000
0.000 0.000 4.958
Pb H Sn Bi
2 1 1 1
Cartesian
2.523 0.000 0.000
0.000 2.523 0.000
0.000 0.000 0.000
0.000 0.000 2.479
2.523 2.523 2.479


Entry 9:
Cd2HgOs (GGA-PBE, optimized geometry); N(E_F) = 3.5 states/eV per cell; energy of formation = 0.59 eV/atom; spin magnetization = 1.06 μB per formula unit; symmetry = P4mm, No. 99
1.0
-2.391 0.711 -1.635
-1.155 -2.701 0.514
-4.025 3.096 7.229
Cd Hg Os
2 1 1
Cartesian
-2.774 -0.225 1.238
-3.923 3.018 7.046
-2.108 1.622 3.787
-4.802 1.335 4.881


Entry 10:
K2ScRh (GGA-PBE, optimized geometry); N(E_F) = 2.9 states/eV per cell; energy of formation = -0.02 eV/atom; spin magnetization = 0.00 μB per formula unit; symmetry = P4mm, No. 99
1.0
-0.130 2.656 -2.298
-3.329 0.640 0.926
3.492 6.906 7.784
Rh K Sc
1 2 1
Cartesian
1.974 3.904 4.400
3.325 6.575 7.411
-0.575 3.931 1.887
0.548 6.152 4.391


Entry 11:
U2Ni2PdPt5 (GGA-PBE, optimized geometry); N(E_F) = 28.5 states/eV per cell; energy of formation = -0.60 eV/atom; spin magnetization = 2.07 μB per formula unit; symmetry = P4/mbm, No. 127
1.0
4.071 0.000 0.000
0.000 9.032 0.000
0.000 0.000 9.032
Pt Pd U Ni
10 2 4 4
Cartesian
2.035 8.341 1.836
2.035 6.352 3.825
2.035 0.691 7.197
2.035 7.197 8.341
2.035 1.836 0.691
2.035 3.825 2.681
2.035 2.681 5.207
2.035 5.207 6.352
2.035 4.516 0.000
2.035 0.000 4.516
0.000 4.516 4.516
0.000 0.000 0.000
0.000 6.117 1.601
0.000 2.915 7.432
0.000 1.601 2.915
0.000 7.432 6.117
0.000 3.430 1.086
0.000 1.086 5.603
0.000 7.946 3.430
0.000 5.603 7.946


Entry 12:
Rb3Au5Cl12 (GGA-PBE, optimized geometry); N(E_F) = 49.3 states/eV per cell; formation energy from raw total energies = -0.67 eV per atom; spin magnetization = 0.00 μB per formula unit; symmetry = Ia-3d, No. 230
1.0
14.651 0.000 0.000
-4.884 13.813 0.000
-4.884 -6.906 11.962
Cl Rb Au
48 12 20
Cartesian
9.119 0.955 5.836
5.813 -1.887 11.050
2.139 9.512 4.803
-5.813 -0.153 9.872
4.235 -2.079 3.891
-1.512 0.153 9.872
-1.275 8.305 5.069
-5.187 9.763 4.658
7.628 12.369 0.145
9.464 1.444 0.145
11.042 3.216 3.746
10.070 -2.857 7.304
-1.167 -3.690 8.217
-0.930 5.173 1.178
2.745 -2.606 7.159
-6.159 3.690 8.217
6.677 7.862 6.126
1.167 1.399 6.894
1.793 4.828 8.072
3.717 5.508 5.069
-4.581 5.462 11.817
10.697 7.060 2.091
3.372 5.019 0.913
4.581 2.606 7.159
-1.793 -0.955 5.836
0.303 4.301 4.803
1.512 -1.734 10.784
6.050 1.818 1.323
1.512 1.887 11.050
-3.608 11.995 1.323
5.813 1.734 10.784
-1.167 5.089 10.639
-2.745 2.857 7.304
3.372 8.640 1.178
-2.745 -5.462 11.817
-4.235 5.951 6.126
6.050 10.597 3.746
0.649 8.985 8.072
7.628 4.050 4.658
-0.649 1.123 2.236
6.396 6.753 2.091
8.492 -5.089 10.639
6.159 -1.399 6.894
3.090 2.079 3.891
-0.930 8.794 0.913
-3.090 8.030 9.727
7.974 -1.123 2.236
5.532 5.783 9.727
10.988 0.000 2.991
8.546 4.317 1.495
8.546 9.496 1.495
3.663 0.000 8.972
-6.105 6.906 8.972
1.221 6.906 2.991
6.105 0.863 4.486
3.663 7.770 7.476
1.221 -0.863 4.486
-3.663 2.590 10.467
-1.221 6.043 7.476
-3.663 -2.590 10.467
6.105 6.043 4.486
-4.884 3.453 5.981
0.000 0.000 0.000
-1.221 3.453 2.991
-1.221 11.223 1.495
8.546 -0.863 7.476
-3.663 7.770 4.486
-2.442 -3.453 5.981
6.105 3.453 8.972
3.663 2.590 1.495
1.221 4.317 10.467
7.325 0.000 0.000
4.884 -3.453 5.981
-2.442 6.906 0.000
1.221 -3.453 8.972
-1.221 0.863 7.476
2.442 3.453 5.981
6.105 -4.317 10.467
3.663 10.360 2.991
4.884 6.906 0.000


Entry 13:
K2LaCl5 (GGA-PBE, optimized geometry); N(E_F) = 0.0 states/eV per cell; formation energy from raw total energies = -2.22 eV per atom; spin magnetization = 0.00 μB per formula unit; symmetry = Pnma, No. 62
1.0
-1.857 7.973 0.328
-5.941 -1.650 6.469
9.280 1.793 8.980
Cl La K
20 4 8
Cartesian
0.226 6.871 11.220
6.000 8.704 10.817
2.388 1.560 8.251
3.510 7.441 8.208
-0.111 2.795 1.124
5.469 3.970 9.122
4.865 2.247 5.554
-3.384 5.868 10.222
-2.588 2.107 3.821
-0.845 5.320 3.668
-0.907 6.556 7.525
-4.519 -0.588 4.959
-2.029 0.675 7.568
4.069 6.008 11.955
1.994 5.087 6.216
2.326 2.795 12.109
1.255 1.244 4.557
1.592 5.320 14.652
-3.988 4.146 6.655
-0.513 3.029 9.561
-5.193 2.182 5.047
6.674 5.934 10.729
1.375 7.867 6.356
0.106 0.248 9.421
-6.102 6.314 8.318
7.583 1.801 7.458
-0.772 3.429 6.304
-0.684 3.871 12.671
-3.165 7.130 5.120
4.646 0.986 10.657
2.253 4.686 9.472
2.165 4.245 3.106


Entry 14:
FeB2I2 (GGA-PBE, optimized geometry); N(E_F) = 5.0 states/eV per cell; formation energy from raw total energies = 1.66 eV per atom; spin magnetization = 0.00 μB per formula unit; symmetry = I4/mmm, No. 139
1.0
3.113 0.000 0.000
0.000 3.113 0.000
1.556 1.556 8.429
B I Fe
2 2 1
Cartesian
3.113 1.556 4.215
1.556 3.113 4.215
1.556 1.556 1.702
3.113 3.113 6.728
0.000 0.000 0.000


Entry 15:
ZrTa2Se5 (GGA-PBE, optimized geometry); N(E_F) = 3.0 states/eV per cell; formation energy from raw total energies = -0.62 eV per atom; spin magnetization = 0.00 μB per formula unit; symmetry = Fmmm, No. 69
1.0
-3.104 -0.986 -3.579
3.682 -1.793 -5.970
-1.662 -7.054 0.114
Se Ta Zr
5 2 1
Cartesian
1.010 -4.424 -2.928
-1.862 -6.758 -3.065
0.779 -3.076 -6.370
0.707 -7.396 -5.117
-1.790 -2.438 -4.318
-2.136 -7.899 -5.784
1.052 -1.935 -3.650
-0.542 -4.917 -4.717


Entry 16:
YCr2Rh (GGA-PBE, optimized geometry); N(E_F) = 4.6 states/eV per cell; energy of formation = 0.25 eV/atom; spin magnetization = 7.54 μB per formula unit; symmetry = P4/mmm, No. 123
1.0
4.038 0.000 0.000
0.000 4.040 0.000
0.000 0.000 4.402
Cr Y Rh
2 1 1
Cartesian
0.000 0.000 0.000
2.019 2.020 0.000
0.000 2.020 2.201
2.019 0.000 2.201


Entry 17:
Na2TaP (GGA-PBE, optimized geometry); N(E_F) = 4.4 states/eV per cell; energy of formation = 0.58 eV/atom; spin magnetization = 2.00 μB per formula unit; symmetry = I-42d, No. 122
1.0
-8.239 0.384 4.420
-4.151 -3.962 -7.393
-5.789 -3.981 -0.539
Na Ta P
4 2 2
Cartesian
-14.784 -5.736 -2.295
-9.387 -4.709 -2.230
-6.324 -1.288 1.279
-5.863 -3.386 -3.778
0.000 0.000 0.000
-10.112 -2.693 1.198
-6.195 -1.789 -1.486
-8.067 -4.866 -4.709


Entry 18:
NaLa3Cl (GGA-PBE, optimized geometry); N(E_F) = 5.3 states/eV per cell; formation energy from raw total energies = -0.42 eV per atom; spin magnetization = 0.00 μB per formula unit; symmetry = Pm-3m, No. 221
1.0
-2.669 3.457 3.506
-4.913 -1.608 -2.155
-0.324 -4.103 3.799
La Na Cl
3 1 1
Cartesian
-1.335 1.728 1.753
-0.162 -2.052 1.899
-2.457 -0.804 -1.078
-3.953 -1.127 2.575
0.000 0.000 0.000


Entry 19:
Ac2Tb5Pr4 (GGA-PBE, optimized geometry); N(E_F) = 16.1 states/eV per cell; energy of formation = 0.03 eV/atom; spin magnetization = 0.00 μB per formula unit; symmetry = C2/m, No. 12
1.0
-1.176 -2.514 -2.460
7.923 3.178 -7.036
-0.952 -8.216 11.647
Pr Tb Ac
4 5 2
Cartesian
3.347 -4.285 2.779
3.099 -7.804 3.698
2.449 -3.267 -0.627
2.697 0.252 -1.547
0.367 -2.272 2.146
-0.588 -1.257 -1.230
0.009 -5.791 3.118
5.429 -5.281 0.006
5.787 -1.762 -0.966
0.849 -6.854 6.598
4.947 -0.699 -4.446


Entry 20:
YSc2Au (GGA-PBE, optimized geometry); N(E_F) = 7.4 states/eV per cell; energy of formation = -0.20 eV/atom; spin magnetization = 1.31 μB per formula unit; symmetry = F-43m, No. 216
1.0
5.076 0.000 0.000
2.538 4.396 0.000
2.538 1.465 4.145
Au Y Sc
1 1 2
Cartesian
5.076 2.931 2.072
7.614 4.396 3.109
2.538 1.465 1.036
0.000 0.000 0.000